No. 1
First-principles (GGA-PBE) data for a relaxed RbAg2Bi crystal, as listed in Alexandria via LeMat-Bulk.

Its energy of formation from the pure elements is -132 meV per atom. For the final energy, the calculation gives -0.102 hartree per atom.

The structure belongs to space group P2_1/m (No. 11); the cell edges are 4.925, 8.148 and 7.324 Å and the angles 90.00°, 109.50° and 90.00°. The inequivalent atoms are Rb at (0.054, 0.250, 0.114), Ag at (0.235, 0.576, 0.470) and Bi at (0.340, 0.250, 0.682).

---

No. 2
First-principles (GGA-PBE) data for a relaxed TeHBr crystal, as listed in Alexandria via LeMat-Bulk.

For the final energy, the calculation gives -0.096 hartree per atom.

The structure belongs to space group Cm (No. 8); the cell edges are 23.295, 3.699 and 3.418 Å and the angles 90.00°, 90.18° and 90.00°. The inequivalent atoms are Te at (0.000, 0.000, 0.000), Te at (0.242, 0.500, 0.494), H at (0.022, 0.500, 0.002), H at (0.315, 0.500, 0.495), Br at (0.113, 0.000, 0.001) and Br at (0.399, 0.000, 0.998).

---

No. 3
First-principles (GGA-PBE) data for a relaxed NpGa4Au12 crystal, as listed in Alexandria via LeMat-Bulk.

Its energy of formation from the pure elements is 31 meV per atom. For the final energy, the calculation gives -0.138 hartree per atom.

The structure belongs to space group Im-3 (No. 204); the cell edges are 8.995, 8.995 and 8.995 Å and the angles 90.00°, 90.00° and 90.00°. The inequivalent atoms are Np at (0.000, 0.000, 0.000), Ga at (0.250, 0.250, 0.250) and Au at (0.000, 0.342, 0.154).

---

Question: Which formula does entry 2 have?
Answer: TeHBr

---

What did the third record say?
First-principles (GGA-PBE) data for a relaxed NpGa4Au12 crystal, as listed in Alexandria via LeMat-Bulk.

Its energy of formation from the pure elements is 31 meV per atom. For the final energy, the calculation gives -0.138 hartree per atom.

The structure belongs to space group Im-3 (No. 204); the cell edges are 8.995, 8.995 and 8.995 Å and the angles 90.00°, 90.00° and 90.00°. The inequivalent atoms are Np at (0.000, 0.000, 0.000), Ga at (0.250, 0.250, 0.250) and Au at (0.000, 0.342, 0.154).